# PmTeCl6 | Alexandria via LeMat-Bulk | PBE | optimized geometry
# DOS at the Fermi energy	0.67	states/eV/cell
# formation energy from raw total energies	-1.26	eV/atom
data_PmTeCl6
_space_group_name_H-M_alt 'P -1'
_space_group_IT_number 2
_space_group_name_Hall '-P 1'
_cell_length_a 6.602
_cell_length_b 6.848
_cell_length_c 7.229
_cell_angle_alpha 63.88
_cell_angle_beta 89.56
_cell_angle_gamma 63.34
loop_
_atom_site_label
_atom_site_type_symbol
_atom_site_fract_x
_atom_site_fract_y
_atom_site_fract_z
Pm1 Pm 0.000 0.000 0.000
Te1 Te 0.500 0.000 0.500
Cl1 Cl 0.063 0.544 0.230
Cl2 Cl 0.271 0.823 0.749
Cl3 Cl 0.417 0.841 0.263